[1]
VASP calculation (PBE) on a relaxed Ac2Cu15Ni2 crystal.

E_tot ... -82.7 eV per cell
Total magnetization ... 0.00 μB per formula unit
Space group ... R-3m, No. 166

Structure (POSCAR):
```
Ac2Cu15Ni2
1.0
-2.016 -3.314 -5.312
5.483 0.828 -3.538
2.797 -5.740 1.579
Ac Cu Ni
2 15 2
direct
0.336 0.336 0.336 Ac
0.664 0.664 0.664 Ac
0.500 0.000 0.000 Cu
0.000 0.000 0.500 Cu
0.000 0.500 0.000 Cu
0.000 0.718 0.282 Cu
0.718 0.282 0.000 Cu
0.282 0.000 0.718 Cu
0.282 0.718 0.000 Cu
0.718 0.000 0.282 Cu
0.000 0.282 0.718 Cu
0.152 0.661 0.661 Cu
0.661 0.661 0.152 Cu
0.661 0.152 0.661 Cu
0.848 0.339 0.339 Cu
0.339 0.339 0.848 Cu
0.339 0.848 0.339 Cu
0.096 0.096 0.096 Ni
0.904 0.904 0.904 Ni
```



[2]
VASP calculation (PBE) on a relaxed Cs2PuTe2Br2 crystal.

E_tot ... -34.8 eV per cell
Formation energy without anion corrections ... -1.303 eV/atom
Total magnetization ... 4.03 μB per formula unit
Space group ... I4/mmm, No. 139

Structure (POSCAR):
```
Cs2PuTe2Br2
1.0
-3.894 1.323 4.316
-3.754 -4.115 -2.126
7.706 -4.961 4.355
Cs Pu Te Br
2 1 2 2
direct
0.355 0.355 0.711 Cs
0.645 0.645 0.289 Cs
0.000 0.000 0.000 Pu
0.000 0.500 0.000 Te
0.500 0.000 0.000 Te
0.158 0.158 0.316 Br
0.842 0.842 0.684 Br
```



[3]
VASP calculation (PBE) on a relaxed ZrSbIrRu2 crystal.

E_tot ... -33.0 eV per cell
Formation energy without anion corrections ... 1.414 eV/atom
Total magnetization ... 1.39 μB per formula unit
Space group ... P4/mmm, No. 123

Structure (POSCAR):
```
ZrSbIrRu2
1.0
4.779 0.000 0.000
0.000 4.927 0.000
0.000 0.000 4.779
Sb Ir Zr Ru
1 1 1 2
direct
0.500 0.500 0.500 Sb
0.000 0.500 0.000 Ir
0.000 0.000 0.000 Zr
0.000 0.000 0.500 Ru
0.500 0.000 0.000 Ru
```



- Which of these has the highest E_tot?
  ZrSbIrRu2



- What is the formula in the first record?
  Ac2Cu15Ni2